Material: HfCdAu
Method: DFT, PBE
State: optimized geometry

Calculated values
Crystal system: cubic
E_tot (eV/atom): -4.845
Formation enthalpy at 0 K (eV per atom): -0.14

a = 4.574 Å, b = 4.574 Å, c = 4.574 Å
α = 60.00°, β = 60.00°, γ = 60.00°
Fractional positions:
Au (0.000, 0.000, 0.000)
Hf (0.750, 0.750, 0.750)
Cd (0.250, 0.250, 0.250)

Material: BeBi2Mo
Method: DFT, PBE
State: optimized geometry

Calculated values
Crystal system: cubic
E_tot (eV/atom): -4.539

a = 4.947 Å, b = 4.947 Å, c = 4.947 Å
α = 60.00°, β = 60.00°, γ = 60.00°
Site moments in Bohr magnetons follow the coordinates.
Fractional positions:
Bi (0.000, 0.000, 0.000)  -0.03
Bi (0.250, 0.250, 0.250)  -0.04
Mo (0.500, 0.500, 0.500)  1.57
Be (0.750, 0.750, 0.750)  0.01

Material: Ta2ReW
Method: DFT, PBE
State: optimized geometry

Calculated values
Crystal system: tetragonal
E_tot (eV/atom): -12.551
Formation enthalpy at 0 K (eV per atom): -0.28

a = 4.553 Å, b = 4.553 Å, c = 3.217 Å
α = 90.00°, β = 90.00°, γ = 90.00°
Fractional positions:
W (0.000, 0.000, 0.000)
Re (0.500, 0.500, 0.000)
Ta (0.000, 0.500, 0.500)
Ta (0.500, 0.000, 0.500)

Question: Which formula does entry 2 have?
Answer: BeBi2Mo

Question: Number 2 is which compound?
Answer: BeBi2Mo